# 1
Here is a geometry-optimized HfTi3In4 structure from the Alexandria database. Energies are from PBE.

Cell: 5.3642 6.0940 9.9941 Å, 90.00 90.00 90.00°
Each line ends with the local moment (μB).
Atoms (fractional coordinates):
Ti 0.6045 0.1052 0.7439  0.23
Ti 0.1045 0.8948 0.2439  0.23
Ti 0.1045 0.8948 0.7561  0.23
Ti 0.7487 0.8839 0.0000  0.01
Ti 0.6045 0.1052 0.2561  0.23
Ti 0.2487 0.1161 0.5000  0.01
In 0.2924 0.1225 0.0000  0.00
In 0.7924 0.8775 0.5000  0.00
In 0.6090 0.6289 0.2373  0.00
In 0.7561 0.3732 0.5000  0.01
In 0.1090 0.3711 0.2627  0.00
In 0.6090 0.6289 0.7627  0.00
In 0.1090 0.3711 0.7373  0.00
In 0.2561 0.6268 0.0000  0.01
Hf 0.2910 0.6499 0.5000  -0.02
Hf 0.7910 0.3501 0.0000  -0.02

Properties
**Volume**: 20.42 Å³ per atom
**Symmetry**: Pmn2_1
**Energy above the lowest structure with this stoichiometry**: 76.3 meV per atom
**Electronic total energy**: -0.4128 Ry/atom
**Formation enthalpy at 0 K**: -0.043 eV/atom



# 2
Here is a geometry-optimized HfTi4In2 structure from the Alexandria database. Energies are from PBE.

Cell: 4.9222 5.4069 6.2822 Å, 115.49 90.00 90.00°
Atoms (fractional coordinates):
In 0.5000 0.1180 0.2359
In 0.5000 0.8820 0.7641
Ti 0.5000 0.6317 0.2633
Ti 0.0000 0.7627 0.5255
Ti 0.0000 0.2373 0.4745
Ti 0.5000 0.3683 0.7367
Hf 0.0000 0.5000 0.0000

Properties
**Volume**: 21.56 Å³ per atom
**Symmetry**: Cmmm
**Energy above the lowest structure with this stoichiometry**: 266.0 meV per atom
**Electronic total energy**: -0.4626 Ry/atom
**Formation enthalpy at 0 K**: 0.422 eV/atom



# 3
Here is a geometry-optimized HfTi6In5 structure from the Alexandria database. Energies are from PBE.

Cell: 4.2632 8.3314 8.0294 Å, 121.25 105.40 90.00°
Atoms (fractional coordinates):
Ti 0.1660 0.9204 0.3320
Ti 0.8340 0.0796 0.6680
Ti 0.1660 0.4116 0.3320
Ti 0.5000 0.2444 0.0000
Ti 0.5000 0.7556 0.0000
Ti 0.8340 0.5884 0.6680
In 0.0000 0.5000 0.0000
In 0.3336 0.3336 0.6671
In 0.3343 0.8343 0.6686
In 0.6657 0.1657 0.3314
In 0.6664 0.6664 0.3329
Hf 0.0000 0.0000 0.0000

Properties
**Volume**: 19.31 Å³ per atom
**Symmetry**: Immm
**Electronic total energy**: -0.4434 Ry/atom
**Formation enthalpy at 0 K**: -0.115 eV/atom



# 4
Here is a geometry-optimized Hf2TiIn2 structure from the Alexandria database. Energies are from PBE.

Cell: 4.6364 5.9767 8.0215 Å, 90.00 106.80 90.00°
Each line ends with the local moment (μB).
Atoms (fractional coordinates):
Hf 0.2108 0.3234 0.4215  0.01
Hf 0.7892 0.8234 0.5785  0.01
Hf 0.4003 0.5798 0.8007  0.01
Hf 0.5997 0.0798 0.1993  0.01
In 0.8190 0.3186 0.6379  0.00
In 0.9841 0.8426 0.9682  0.00
In 0.0159 0.3426 0.0318  0.00
In 0.1810 0.8186 0.3621  0.00
Ti 0.3956 0.0699 0.7911  0.06
Ti 0.6044 0.5699 0.2089  0.06

Properties
**Volume**: 21.28 Å³ per atom
**Symmetry**: Cmc2_1
**Energy above the lowest structure with this stoichiometry**: 0.0 meV per atom
**Electronic total energy**: -0.4927 Ry/atom
**Formation enthalpy at 0 K**: -0.047 eV/atom



# 5
Here is a geometry-optimized HfTi2In structure from the Alexandria database. Energies are from PBE.

Cell: 3.2653 3.2653 7.3569 Å, 90.00 90.00 90.00°
Atoms (fractional coordinates):
Ti 0.0000 0.0000 0.2523
Ti 0.0000 0.0000 0.7477
Hf 0.5000 0.5000 0.5000
In 0.5000 0.5000 0.0000

Properties
**Volume**: 19.61 Å³ per atom
**Symmetry**: P4/mmm
**Electronic total energy**: -0.5280 Ry/atom
**Formation enthalpy at 0 K**: -0.064 eV/atom



# 6
Here is a geometry-optimized HfTi7In3 structure from the Alexandria database. Energies are from PBE.

Cell: 4.7406 7.1827 7.1827 Å, 83.97 109.28 109.28°
Each line ends with the local moment (μB).
Atoms (fractional coordinates):
Ti 0.2046 0.2052 0.2052  0.01
Ti 0.0000 0.5000 0.5000  0.30
Ti 0.2849 0.5820 0.9880  0.00
Ti 0.7954 0.7948 0.7948  0.01
Ti 0.7151 0.4180 0.0120  0.00
Ti 0.2849 0.9880 0.5820  0.00
Ti 0.7151 0.0120 0.4180  0.00
In 0.5000 0.0000 0.0000  0.00
In 0.0000 0.7839 0.2161  0.00
In 0.0000 0.2161 0.7839  0.00
Hf 0.5000 0.5000 0.5000  0.17

Properties
**Volume**: 19.81 Å³ per atom
**Symmetry**: Immm
**Electronic total energy**: -0.4740 Ry/atom
**Formation enthalpy at 0 K**: 0.227 eV/atom



# 7
Here is a geometry-optimized Hf2TiIn structure from the Alexandria database. Energies are from PBE.

Cell: 4.3359 4.3502 4.3502 Å, 90.00 90.00 90.00°
Atoms (fractional coordinates):
In 0.5000 0.5000 0.5000
Ti 0.5000 0.0000 0.0000
Hf 0.0000 0.0000 0.5000
Hf 0.0000 0.5000 0.0000

Properties
**Volume**: 20.51 Å³ per atom
**Symmetry**: P4/mmm
**Electronic total energy**: -0.5696 Ry/atom
**Formation enthalpy at 0 K**: -0.115 eV/atom



# 8
Here is a geometry-optimized Hf2TiIn structure from the Alexandria database. Energies are from PBE.

Cell: 4.2597 4.2624 5.4591 Å, 112.97 112.96 90.00°
Atoms (fractional coordinates):
Ti 0.0000 0.5000 0.0000
Hf 0.7500 0.7499 0.4999
Hf 0.2500 0.2501 0.5001
In 0.5000 0.0000 0.0000

Properties
**Volume**: 20.66 Å³ per atom
**Symmetry**: I4/mmm
**Electronic total energy**: -0.5695 Ry/atom
**Formation enthalpy at 0 K**: -0.114 eV/atom



# 9
Here is a geometry-optimized Hf7Ti2In structure from the Alexandria database. Energies are from PBE.

Cell: 4.8094 7.7598 7.7598 Å, 119.63 90.00 90.00°
Atoms (fractional coordinates):
Hf 0.5000 0.2946 0.0624
Hf 0.5000 0.0624 0.2946
Hf 0.0000 0.7482 0.2518
Hf 0.5000 0.5000 0.5000
Hf 0.5000 0.7054 0.9376
Hf 0.0000 0.2518 0.7482
Hf 0.5000 0.9376 0.7054
Ti 0.5000 0.7033 0.2967
Ti 0.5000 0.2967 0.7033
In 0.0000 0.0000 0.0000

Properties
**Volume**: 25.17 Å³ per atom
**Symmetry**: Cmmm
**Electronic total energy**: -0.5935 Ry/atom
**Formation enthalpy at 0 K**: 0.746 eV/atom



# 10
Here is a geometry-optimized HfTi2In2 structure from the Alexandria database. Energies are from PBE.

Cell: 8.2050 8.2050 3.0303 Å, 90.00 90.00 90.00°
Each line ends with the local moment (μB).
Atoms (fractional coordinates):
Ti 0.6126 0.1126 0.0000  0.71
Ti 0.1126 0.3874 0.0000  0.71
Ti 0.8874 0.6126 0.0000  0.71
Ti 0.3874 0.8874 0.0000  0.71
In 0.3175 0.1825 0.5000  0.00
In 0.6825 0.8175 0.5000  0.00
In 0.8175 0.3175 0.5000  0.00
In 0.1825 0.6825 0.5000  0.00
Hf 0.0000 0.0000 0.0000  -0.01
Hf 0.5000 0.5000 0.0000  -0.01

Properties
**Volume**: 20.40 Å³ per atom
**Symmetry**: P4/mbm
**Energy above the lowest structure with this stoichiometry**: 63.0 meV per atom
**Electronic total energy**: -0.4550 Ry/atom
**Formation enthalpy at 0 K**: 0.054 eV/atom



# 11
Here is a geometry-optimized HfTi4In5 structure from the Alexandria database. Energies are from PBE.

Cell: 3.0274 3.0274 21.4745 Å, 90.00 90.00 90.00°
Atoms (fractional coordinates):
Ti 0.0000 0.0000 0.4018
Ti 0.0000 0.0000 0.5982
Ti 0.0000 0.0000 0.2054
Ti 0.0000 0.0000 0.7946
In 0.5000 0.5000 0.5000
In 0.5000 0.5000 0.8929
In 0.5000 0.5000 0.1071
In 0.5000 0.5000 0.6964
In 0.5000 0.5000 0.3036
Hf 0.0000 0.0000 0.0000

Properties
**Volume**: 19.68 Å³ per atom
**Symmetry**: P4/mmm
**Energy above the lowest structure with this stoichiometry**: 0.0 meV per atom
**Electronic total energy**: -0.4165 Ry/atom
**Formation enthalpy at 0 K**: -0.145 eV/atom



# 12
Here is a geometry-optimized Hf5TiIn4 structure from the Alexandria database. Energies are from PBE.

Cell: 3.0993 3.0993 22.2518 Å, 90.00 90.00 90.00°
Atoms (fractional coordinates):
Hf 0.5000 0.5000 0.5000
Hf 0.5000 0.5000 0.2995
Hf 0.5000 0.5000 0.9071
Hf 0.5000 0.5000 0.7005
Hf 0.5000 0.5000 0.0929
Ti 0.0000 0.0000 0.0000
In 0.0000 0.0000 0.3997
In 0.0000 0.0000 0.6003
In 0.0000 0.0000 0.8016
In 0.0000 0.0000 0.1984

Properties
**Volume**: 21.37 Å³ per atom
**Symmetry**: P4/mmm
**Energy above the lowest structure with this stoichiometry**: 0.0 meV per atom
**Electronic total energy**: -0.5136 Ry/atom
**Formation enthalpy at 0 K**: -0.126 eV/atom



# 13
Here is a geometry-optimized Hf2Ti15In2 structure from the Alexandria database. Energies are from PBE.

Cell: 7.1393 7.1393 7.1393 Å, 80.54 80.54 80.54°
Atoms (fractional coordinates):
Ti 0.0000 0.5000 0.0000
Ti 0.3729 0.3729 0.8386
Ti 0.5000 0.0000 0.0000
Ti 0.0000 0.0000 0.5000
Ti 0.1614 0.6271 0.6271
Ti 0.6271 0.6271 0.1614
Ti 0.8386 0.3729 0.3729
Ti 0.0000 0.3101 0.6899
Ti 0.6899 0.0000 0.3101
Ti 0.0000 0.6899 0.3101
Ti 0.3729 0.8386 0.3729
Ti 0.6271 0.1614 0.6271
Ti 0.3101 0.0000 0.6899
Ti 0.3101 0.6899 0.0000
Ti 0.6899 0.3101 0.0000
Hf 0.3263 0.3263 0.3263
Hf 0.6737 0.6737 0.6737
In 0.1029 0.1029 0.1029
In 0.8971 0.8971 0.8971

Properties
**Volume**: 18.45 Å³ per atom
**Symmetry**: R-3m
**Energy above the lowest structure with this stoichiometry**: 0.0 meV per atom
**Electronic total energy**: -0.5474 Ry/atom
**Formation enthalpy at 0 K**: 0.121 eV/atom



# 14
Here is a geometry-optimized Hf6TiIn structure from the Alexandria database. Energies are from PBE.

Cell: 7.9386 7.8313 5.5755 Å, 45.30 44.63 59.46°
Atoms (fractional coordinates):
Hf 0.9937 0.4848 0.2737
Hf 0.5240 0.7524 0.7297
Hf 0.7525 0.9935 0.7717
Hf 0.0063 0.5152 0.7263
Hf 0.4760 0.2476 0.2703
Hf 0.2475 0.0065 0.2283
Ti 0.0000 0.0000 0.0000
In 0.5000 0.5000 0.5000

Properties
**Volume**: 21.63 Å³ per atom
**Symmetry**: P-1
**Energy above the lowest structure with this stoichiometry**: 70.7 meV per atom
**Electronic total energy**: -0.6439 Ry/atom
**Formation enthalpy at 0 K**: 0.033 eV/atom



# 15
Here is a geometry-optimized Hf7TiIn4 structure from the Alexandria database. Energies are from PBE.

Cell: 4.9449 11.1839 5.7997 Å, 78.50 64.77 77.23°
Atoms (fractional coordinates):
Hf 0.9962 0.3705 0.6370
Hf 0.0038 0.6295 0.3630
Hf 0.3398 0.5306 0.7898
Hf 0.6602 0.4694 0.2102
Hf 0.7866 0.9238 0.5029
Hf 0.2134 0.0762 0.4971
Hf 0.5000 0.0000 0.0000
In 0.3224 0.2838 0.0715
In 0.6776 0.7162 0.9285
In 0.3660 0.7842 0.4838
In 0.6340 0.2158 0.5162
Ti 0.0000 0.0000 0.0000

Properties
**Volume**: 23.41 Å³ per atom
**Symmetry**: C2/m
**Electronic total energy**: -0.5234 Ry/atom
**Formation enthalpy at 0 K**: 0.256 eV/atom



# 16
Here is a geometry-optimized HfTi3In structure from the Alexandria database. Energies are from PBE.

Cell: 3.8131 3.8131 7.4492 Å, 104.83 104.83 90.00°
Atoms (fractional coordinates):
Hf 0.9892 0.9892 0.9783
Ti 0.2833 0.7833 0.5666
Ti 0.4178 0.4178 0.8356
Ti 0.7833 0.2833 0.5666
In 0.6167 0.6167 0.2334

Properties
**Volume**: 20.19 Å³ per atom
**Symmetry**: I4mm
**Energy above the lowest structure with this stoichiometry**: 107.4 meV per atom
**Electronic total energy**: -0.5276 Ry/atom
**Formation enthalpy at 0 K**: 0.097 eV/atom



# 17
Here is a geometry-optimized Hf4TiIn3 structure from the Alexandria database. Energies are from PBE.

Cell: 5.2997 6.4845 10.1148 Å, 90.00 90.00 90.00°
Atoms (fractional coordinates):
Hf 0.1158 0.8844 0.0000
Hf 0.0064 0.1226 0.2492
Hf 0.5064 0.8774 0.2508
Hf 0.5064 0.8774 0.7492
Hf 0.1304 0.8744 0.5000
Hf 0.6158 0.1156 0.5000
Hf 0.0064 0.1226 0.7508
Hf 0.6304 0.1256 0.0000
In 0.6259 0.6132 0.0000
In 0.5003 0.3759 0.2537
In 0.1259 0.3868 0.5000
In 0.5003 0.3759 0.7463
In 0.0003 0.6241 0.7537
In 0.0003 0.6241 0.2463
Ti 0.6298 0.6370 0.5000
Ti 0.1298 0.3630 0.0000

Properties
**Volume**: 21.73 Å³ per atom
**Symmetry**: Pmn2_1
**Energy above the lowest structure with this stoichiometry**: 86.6 meV per atom
**Electronic total energy**: -0.5162 Ry/atom
**Formation enthalpy at 0 K**: -0.032 eV/atom



# 18
Here is a geometry-optimized HfTi2In2 structure from the Alexandria database. Energies are from PBE.

Cell: 2.9979 2.9740 11.4827 Å, 82.56 90.00 90.00°
Each line ends with the local moment (μB).
Atoms (fractional coordinates):
Hf 0.0000 0.0000 0.0000  0.01
Ti 0.0000 0.8004 0.3992  0.33
Ti 0.0000 0.1996 0.6008  0.33
In 0.5000 0.6033 0.7934  0.00
In 0.5000 0.3967 0.2066  0.00

Properties
**Volume**: 20.30 Å³ per atom
**Symmetry**: Cmmm
**Energy above the lowest structure with this stoichiometry**: 15.6 meV per atom
**Electronic total energy**: -0.4584 Ry/atom
**Formation enthalpy at 0 K**: 0.007 eV/atom



# 19
Here is a geometry-optimized Hf5TiIn5 structure from the Alexandria database. Energies are from PBE.

Cell: 5.3129 8.9113 5.9520 Å, 109.57 90.00 107.34°
Atoms (fractional coordinates):
Hf 0.0000 0.0000 0.5000
Hf 0.3870 0.7739 0.3873
Hf 0.6739 0.3478 0.1738
Hf 0.3261 0.6522 0.8262
Hf 0.6130 0.2261 0.6127
In 0.1650 0.3300 0.9201
In 0.5000 0.0000 0.0000
In 0.1648 0.3297 0.4099
In 0.8352 0.6703 0.5901
In 0.8350 0.6700 0.0799
Ti 0.0000 0.0000 0.0000

Properties
**Volume**: 22.90 Å³ per atom
**Symmetry**: C2/m
**Electronic total energy**: -0.4611 Ry/atom
**Formation enthalpy at 0 K**: 0.213 eV/atom



# 20
Here is a geometry-optimized HfTi2In structure from the Alexandria database. Energies are from PBE.

Cell: 4.2028 4.2823 4.2823 Å, 90.00 90.00 90.00°
Atoms (fractional coordinates):
In 0.5000 0.0000 0.0000
Ti 0.0000 0.0000 0.5000
Ti 0.0000 0.5000 0.0000
Hf 0.5000 0.5000 0.5000

Properties
**Volume**: 19.27 Å³ per atom
**Symmetry**: P4/mmm
**Electronic total energy**: -0.5313 Ry/atom
**Formation enthalpy at 0 K**: -0.108 eV/atom